(1)
Computed, not measured: crystalline Y4AlNiC2 at its relaxed geometry at the PBE-GGA level of DFT.

crystal system: hexagonal

Lattice parameters (Å, degrees): 3.6224 3.6224 15.0718 90.00 90.00 120.00
Last column: nearest neighbours and their distance in Å.
Positions (direct):
Y 0.0000 0.0000 0.1392  3 C 2.50
Y 0.0000 0.0000 0.8608  3 C 2.50
Y 0.3333 0.6667 0.3224  3 C 2.51
Y 0.3333 0.6667 0.6776  3 C 2.51
Al 0.0000 0.0000 0.5000  6 Y 3.40, 6 Al 3.62
Ni 0.3333 0.6667 0.0000  6 Y 2.96
C 0.6667 0.3333 0.2303  6 Y 2.50-2.51
C 0.6667 0.3333 0.7697  6 Y 2.50-2.51

=====

(2)
Computed, not measured: crystalline TaBeNiAg at its relaxed geometry at the PBE-GGA level of DFT.

crystal system: cubic

Lattice parameters (Å, degrees): 4.2394 4.2394 4.2394 60.00 60.00 60.00
Last column: nearest neighbours and their distance in Å.
Positions (direct):
Ta 0.0000 0.0000 0.0000  4 Ni 2.60, 4 Be 2.60
Be 0.2500 0.2500 0.2500  4 Ta 2.60, 4 Ag 2.60
Ni 0.7500 0.7500 0.7500  4 Ta 2.60, 4 Ag 2.60
Ag 0.5000 0.5000 0.5000  4 Ni 2.60, 4 Be 2.60

=====

| no. | electronic total energy (eV/atom) |
| --- | --- |
| 1 | -6.896 |
| 2 | -5.895 |